Computed, not measured: an optimized crystal structure of Ce6ZnOs3 at the PBE level of DFT.

```
20
Lattice="5.200 -6.098 0.000 5.200 6.098 0.000 0.000 0.000 7.434" Properties=species:S:1:pos:R:3 pbc="T T T"
Ce 2.742 2.766 2.181
Ce 5.200 4.605 3.717
Ce 5.200 4.151 0.027
Ce 3.580 0.344 7.384
Ce 3.580 -0.344 3.667
Ce 2.742 -2.766 5.898
Ce 7.659 2.766 2.181
Ce 6.821 0.344 7.384
Ce 6.821 -0.344 3.667
Ce 5.200 -4.151 3.744
Ce 5.200 -4.605 0.000
Ce 7.659 -2.766 5.898
Zn 5.200 1.906 5.039
Zn 5.200 -1.906 1.322
Os 1.564 0.316 5.489
Os 1.564 -0.316 1.772
Os 5.200 1.808 2.284
Os 5.200 -1.808 6.001
Os 8.836 0.316 5.489
Os 8.836 -0.316 1.772
```

Results
Density of states at the Fermi level: 2.104 states/eV per atom
Formation energy: -0.129 eV/atom
M_tot: 3.601 μB/cell